Entry 1:
6
Lattice="2.9952 -2.9745 0.0000 2.9952 2.9745 0.0000 -1.9059 0.0000 10.2707" Properties=species:S:1:pos:R:3 comment="LiPI (PBE, optimized geometry)" dos_at_fermi_per_ev_atom=0.000 pbc="T T T"
Li 0.5368 0.0000 3.8572
Li 3.5477 0.0000 6.4136
P 0.3163 0.0000 0.8967
P 3.7682 0.0000 9.3740
I 0.5553 0.0000 6.7170
I 3.5292 0.0000 3.5537

=====

Entry 2:
5
Lattice="5.0566 0.0000 0.0000 0.0000 5.0566 0.0000 0.0000 0.0000 5.0566" Properties=species:S:1:pos:R:3 comment="Li3PI (PBE, optimized geometry)" dos_at_fermi_per_ev_atom=0.383 pbc="T T T"
Li 0.0000 0.0000 2.5283
Li 0.0000 2.5283 0.0000
Li 2.5283 0.0000 0.0000
P 2.5283 2.5283 2.5283
I 0.0000 0.0000 0.0000

=====

Entry 3:
5
Lattice="5.2223 0.0000 0.0000 0.0000 5.2223 0.0000 0.0000 0.0000 6.6695" Properties=species:S:1:pos:R:3 comment="LiP2PbI (PBE, optimized geometry)" dos_at_fermi_per_ev_atom=0.817 pbc="T T T"
Li 0.0000 0.0000 0.0000
P 0.0000 2.6111 3.3347
P 2.6111 0.0000 3.3347
Pb 2.6111 2.6111 3.3347
I 2.6111 2.6111 0.0000

=====

Entry 4:
5
Lattice="4.7318 0.0000 0.0000 0.0000 4.7318 0.0000 0.0000 0.0000 5.4618" Properties=species:S:1:pos:R:3 comment="Li2PPtI (PBE, optimized geometry)" dos_at_fermi_per_ev_atom=0.563 pbc="T T T"
Li 0.0000 2.3659 0.0000
Li 2.3659 0.0000 0.0000
P 0.0000 0.0000 2.7309
Pt 2.3659 2.3659 2.7309
I 0.0000 0.0000 0.0000

=====

Entry 5:
10
Lattice="-4.1026 4.1026 5.7958 4.1026 -4.1026 5.7958 4.1026 4.1026 -5.7958" Properties=species:S:1:pos:R:3 comment="Rb2LiPI6 (PBE, optimized geometry)" dos_at_fermi_per_ev_atom=0.000 pbc="T T T"
Rb 4.1026 0.0000 2.8979
Rb 0.0000 4.1026 2.8979
Li 0.0000 0.0000 0.0000
P 0.0000 0.0000 5.7958
I 0.0000 0.0000 2.9918
I 2.1202 2.1202 0.0000
I 1.9824 -1.9824 5.7958
I -1.9824 1.9824 5.7958
I 0.0000 0.0000 8.5997
I 1.9824 1.9824 5.7958

=====

Entry 6:
5
Lattice="4.7505 0.0000 0.0000 0.0000 4.7505 0.0000 0.0000 0.0000 5.4938" Properties=species:S:1:pos:R:3 comment="Li2PRuI (PBE, optimized geometry)" dos_at_fermi_per_ev_atom=0.857 pbc="T T T"
Li 0.0000 2.3753 0.0000
Li 2.3753 0.0000 0.0000
P 0.0000 0.0000 2.7469
Ru 2.3753 2.3753 2.7469
I 0.0000 0.0000 0.0000

=====

Entry 7:
Entry from Alexandria: an optimized crystal structure of Li2PS3I (PBE).

```
14
Lattice="3.8266 2.2093 7.0844 -3.8266 2.2093 7.0844 0.0000 -4.4186 7.0844" Properties=species:S:1:pos:R:3 pbc="T T T"
Li 0.0000 0.0000 0.0000
Li -3.8266 0.0000 10.6266
Li -1.9133 1.1046 3.5422
Li 1.9133 1.1046 3.5422
P 0.0000 0.0000 8.6969
P 0.0000 0.0000 12.5564
S 0.0000 -1.9673 8.8156
S -1.7037 0.9837 8.8156
S -1.7037 -0.9836 12.4377
S 1.7037 0.9837 8.8156
S 1.7037 -0.9837 12.4377
S 0.0000 1.9673 12.4377
I 0.0000 0.0000 4.9458
I 0.0000 0.0000 16.3075
```

=====

Entry 8:
5
Lattice="5.1516 0.0000 0.0000 0.0000 5.1516 0.0000 0.0000 0.0000 5.2895" Properties=species:S:1:pos:R:3 comment="LiSbPI2 (PBE, optimized geometry)" dos_at_fermi_per_ev_atom=0.893 pbc="T T T"
Li 0.0000 0.0000 0.0000
Sb 0.0000 0.0000 2.6447
P 2.5758 2.5758 2.6447
I 0.0000 2.5758 0.0000
I 2.5758 0.0000 0.0000

=====

Number 1: ΔE_f (raw) -11.27 kcal/mol of atoms. Number 2: ΔE_f (raw) -2.33 kcal/mol of atoms. Number 3: ΔE_f (raw) 14.38 kcal/mol of atoms. Number 4: ΔE_f (raw) 13.68 kcal/mol of atoms. Number 5: ΔE_f (raw) -18.19 kcal/mol of atoms. Number 6: ΔE_f (raw) 23.55 kcal/mol of atoms. Number 7: ΔE_f (raw) -12.72 kcal/mol of atoms. Number 8: ΔE_f (raw) 13.54 kcal/mol of atoms.